# 1
The following is a DFT calculation (GGA-PBE) of crystalline ScAu at its relaxed geometry.

Summary:
The calculation puts the total energy at -10.876 eV per cell. For the spin magnetization, the calculation gives 0.00 μB per cell. Its energy of formation is -1.27 eV per formula unit. For the density of states at the Fermi level, the calculation gives 0.48 states/eV/f.u.

The structure in CIF format:
```
data_ScAu
_chemical_formula_sum 'Sc1 Au1'
_cell_length_a 3.7083
_cell_length_b 3.7083
_cell_length_c 3.6813
_cell_angle_alpha 90.00
_cell_angle_beta 90.00
_cell_angle_gamma 120.00
_symmetry_space_group_name_H-M 'P -6 m 2'
_symmetry_Int_Tables_number 187
_symmetry_space_group_name_Hall 'P -6 2'
loop_
_atom_site_label
_atom_site_fract_x
_atom_site_fract_y
_atom_site_fract_z
Sc1 0.0000 0.0000 0.0000
Au1 0.6667 0.3333 0.5000
```

***

# 2
The following is a DFT calculation (GGA-PBE) of crystalline Th2MgCd7 at its relaxed geometry.

Summary:
The calculation puts the total energy at -77.427 eV per cell. For the spin magnetization, the calculation gives 0.00 μB per cell. Its energy of formation is 3.48 eV per formula unit. For the density of states at the Fermi level, the calculation gives 6.20 states/eV/f.u.

The structure in CIF format:
```
data_Th2MgCd7
_chemical_formula_sum 'Th8 Mg4 Cd28'
_cell_length_a 10.294
_cell_length_b 10.294
_cell_length_c 10.294
_cell_angle_alpha 90.00
_cell_angle_beta 90.00
_cell_angle_gamma 90.00
_symmetry_space_group_name_H-M 'F m -3 m'
_symmetry_Int_Tables_number 225
_symmetry_space_group_name_Hall '-F 4 2 3'
loop_
_atom_site_label
_atom_site_fract_x
_atom_site_fract_y
_atom_site_fract_z
Th1 0.250 0.250 0.250
Mg1 0.000 0.000 0.000
Cd1 0.000 0.000 0.246
Cd2 0.000 0.000 0.500
```

***

# 3
The following is a DFT calculation (GGA-PBE) of crystalline Os4S at its relaxed geometry.

Summary:
The calculation puts the total energy at -41.706 eV per cell. For the spin magnetization, the calculation gives 0.00 μB per cell. The calculation puts the formation energy from raw total energies at 1.468 eV per atom. For the density of states at the Fermi level, the calculation gives 4.94 states/eV/f.u.

The structure in CIF format:
```
data_Os4S
_chemical_formula_sum 'Os4 S1'
_cell_length_a 4.290
_cell_length_b 4.290
_cell_length_c 4.290
_cell_angle_alpha 90.00
_cell_angle_beta 90.00
_cell_angle_gamma 90.00
_symmetry_space_group_name_H-M 'P m -3 m'
_symmetry_Int_Tables_number 221
_symmetry_space_group_name_Hall '-P 4 2 3'
loop_
_atom_site_label
_atom_site_fract_x
_atom_site_fract_y
_atom_site_fract_z
Os1 0.000 0.000 0.000
Os2 0.000 0.500 0.500
S1 0.500 0.500 0.500
```